First-principles (GGA+U) data for a relaxed structure of FeSnF6, as listed in Alexandria via LeMat-Bulk.

Cell lengths 5.3426, 5.3426, 14.3093 Å; angles 90.00, 90.00, 120.00 degrees
With the nearest neighbours (Å) after each atom.
Space group R-3 (No. 148, hexagonal axes)
Asymmetric unit:
1 Fe 0.0000 0.0000 0.0000 (multiplicity 3)  6 F 2.09
2 Sn 0.0000 0.0000 0.5000 (multiplicity 3)  6 F 2.00
3 F 0.0075 0.3863 0.2478 (multiplicity 18)  1 Sn 2.00, 1 Fe 2.09

Computed properties:
Its total DFT energy (no corrections) is -122.33 eV for the cell shown. The calculation puts the density of states at the Fermi level at 0.00 states/eV per atom. The calculation puts the magnetization at 12.00 μB/cell.